1.
Li4TlAu2: relaxed, PBE-GGA. Values from VASP.

Structure (Quantum ESPRESSO input):
```
&SYSTEM
  ibrav = 0, nat = 7, ntyp = 3
/
ATOMIC_SPECIES
Li 6.94 Li.upf
Tl 204.38 Tl.upf
Au 196.97 Au.upf
CELL_PARAMETERS angstrom
5.0058 0.0000 0.0000
0.0000 5.0058 0.0000
-2.5029 -2.5029 5.3756
ATOMIC_POSITIONS angstrom
Li 2.5029 0.0000 2.6878
Li 0.0000 2.5029 2.6878
Li 2.5029 0.0000 0.0000
Li 0.0000 2.5029 0.0000
Tl 0.0000 0.0000 0.0000
Au 2.5029 2.5029 1.4035
Au 0.0000 0.0000 3.9721
```

Formation energy   -179 meV per atom
E above lowest polymorph   209 meV/atom
ρ   7.7 g cm⁻³
Raw total energy   -2.5468 eV/atom

***

2.
Li7TlAu2: relaxed, PBE-GGA. Values from VASP.

Structure (Quantum ESPRESSO input):
```
&SYSTEM
  ibrav = 0, nat = 10, ntyp = 3
/
ATOMIC_SPECIES
Li 6.94 Li.upf
Tl 204.38 Tl.upf
Au 196.97 Au.upf
CELL_PARAMETERS angstrom
4.5346 0.0000 0.0000
-2.2673 3.9271 0.0000
0.0000 0.0000 9.8360
ATOMIC_POSITIONS angstrom
Li 0.0000 2.6180 3.8885
Li 0.0000 2.6180 1.5281
Li 0.0000 0.0000 3.4729
Li 0.0000 0.0000 7.1530
Li 2.2673 1.3090 5.4202
Li 2.2673 1.3090 9.3318
Li 0.0000 2.6180 8.8122
Tl 0.0000 0.0000 0.5111
Au 2.2673 1.3090 2.5464
Au 0.0000 2.6180 6.3526
```

Formation energy   -299 meV per atom
E above lowest polymorph   0 meV/atom
ρ   6.1 g cm⁻³
Raw total energy   -2.5303 eV/atom

***

3.
LiTl2Au: relaxed, PBE-GGA. Values from VASP.

Structure (Quantum ESPRESSO input):
```
&SYSTEM
  ibrav = 0, nat = 4, ntyp = 3
/
ATOMIC_SPECIES
Au 196.97 Au.upf
Li 6.94 Li.upf
Tl 204.38 Tl.upf
CELL_PARAMETERS angstrom
5.1908 -0.0242 -0.0062
3.8616 3.4689 -0.0062
1.2416 0.4724 5.1514
ATOMIC_POSITIONS angstrom
Au 5.0625 1.9264 2.7413
Li 7.8393 2.9830 3.6752
Tl 1.2661 0.4818 4.9732
Tl 2.5145 0.9568 1.4702
```

Formation energy   -147 meV per atom
ρ   10.9 g cm⁻³
Raw total energy   -2.6276 eV/atom

***

4.
Li4TlAu2: relaxed, PBE-GGA. Values from VASP.

Structure (Quantum ESPRESSO input):
```
&SYSTEM
  ibrav = 0, nat = 7, ntyp = 3
/
ATOMIC_SPECIES
Li 6.94 Li.upf
Tl 204.38 Tl.upf
Au 196.97 Au.upf
CELL_PARAMETERS angstrom
4.3825 0.0000 1.3692
1.9774 3.9111 1.3692
0.0659 0.0405 7.4874
ATOMIC_POSITIONS angstrom
Li 5.5213 3.3954 5.4225
Li 0.9045 0.5562 4.8033
Li 3.7794 2.3242 3.2996
Li 2.6464 1.6274 6.9262
Tl 0.0000 0.0000 0.0000
Au 4.7585 2.9263 7.8640
Au 1.6673 1.0253 2.3618
```

Formation energy   -387 meV per atom
E above lowest polymorph   0 meV/atom
ρ   8.1 g cm⁻³
Raw total energy   -2.7553 eV/atom

***

5.
Li3TlAu4: relaxed, PBE-GGA. Values from VASP.

Structure (Quantum ESPRESSO input):
```
&SYSTEM
  ibrav = 0, nat = 16, ntyp = 3
/
ATOMIC_SPECIES
Tl 204.38 Tl.upf
Au 196.97 Au.upf
Li 6.94 Li.upf
CELL_PARAMETERS angstrom
-1.1825 0.6053 4.1772
5.2748 -4.3801 2.1279
5.4557 6.8390 0.5534
ATOMIC_POSITIONS angstrom
Tl 2.6374 -2.1900 1.0640
Tl 5.3652 1.2294 1.3406
Au 3.5388 -3.1269 3.7547
Au 6.2667 0.2926 4.0314
Au 0.5534 -0.6478 2.5504
Au 3.2813 2.7716 2.8271
Au 8.2208 1.7002 2.0850
Au 4.3126 -1.1151 5.9779
Au 1.3272 1.3640 4.7735
Au 5.2353 4.1793 0.8806
Li 0.0000 0.0000 0.0000
Li 2.7279 3.4195 0.2767
Li 3.4995 5.4324 2.5071
Li 0.7737 2.0119 2.2234
Li 6.1375 3.2420 3.5689
Li 3.4104 -0.1778 3.2896
```

Formation energy   -390 meV per atom
ρ   12.2 g cm⁻³
Raw total energy   -3.0420 eV/atom

***

6.
Li5Tl4Au: relaxed, PBE-GGA. Values from VASP.

Structure (Quantum ESPRESSO input):
```
&SYSTEM
  ibrav = 0, nat = 10, ntyp = 3
/
ATOMIC_SPECIES
Li 6.94 Li.upf
Tl 204.38 Tl.upf
Au 196.97 Au.upf
CELL_PARAMETERS angstrom
3.3268 0.0000 0.0000
0.0000 3.3268 0.0000
0.0000 0.0000 17.9330
ATOMIC_POSITIONS angstrom
Li 1.6634 1.6634 1.3880
Li 1.6634 1.6634 5.1697
Li 1.6634 1.6634 8.9665
Li 1.6634 1.6634 12.7633
Li 1.6634 1.6634 16.5450
Tl 0.0000 0.0000 3.2355
Tl 0.0000 0.0000 7.0696
Tl 0.0000 0.0000 10.8634
Tl 0.0000 0.0000 14.6975
Au 0.0000 0.0000 0.0000
```

Formation energy   -294 meV per atom
ρ   8.8 g cm⁻³
Raw total energy   -2.5252 eV/atom

***

7.
Li7TlAu3: relaxed, PBE-GGA. Values from VASP.

Structure (Quantum ESPRESSO input):
```
&SYSTEM
  ibrav = 0, nat = 22, ntyp = 3
/
ATOMIC_SPECIES
Li 6.94 Li.upf
Tl 204.38 Tl.upf
Au 196.97 Au.upf
CELL_PARAMETERS angstrom
2.9297 0.0000 0.0000
-1.4648 12.9399 0.0000
0.0000 0.0000 10.5598
ATOMIC_POSITIONS angstrom
Li 0.0000 11.4343 7.9198
Li 1.4648 1.5056 2.6399
Li 0.0000 11.6100 5.2128
Li 1.4649 1.3299 5.3470
Li 1.4649 1.3299 10.4927
Li 0.0000 11.6100 0.0671
Li 0.0000 9.1814 4.1322
Li 1.4649 3.7584 6.4276
Li 0.0000 7.4334 6.3744
Li 1.4649 5.5065 4.1854
Li 1.4649 5.5065 1.0945
Li 0.0000 7.4334 9.4653
Li 0.0000 9.1815 1.1477
Li 1.4649 3.7584 9.4121
Tl 1.4649 11.8093 2.6399
Tl 0.0000 1.1306 7.9199
Au 0.0000 3.2530 4.1550
Au 1.4648 9.6869 6.4048
Au 0.0000 5.3925 7.9198
Au 1.4649 7.5473 2.6399
Au 0.0000 3.2530 1.1249
Au 1.4648 9.6869 9.4349
```

Formation energy   -325 meV per atom
ρ   7.0 g cm⁻³
Raw total energy   -2.6519 eV/atom

***

8.
Li2TlAu: relaxed, PBE-GGA. Values from VASP.

Structure (Quantum ESPRESSO input):
```
&SYSTEM
  ibrav = 0, nat = 4, ntyp = 3
/
ATOMIC_SPECIES
Tl 204.38 Tl.upf
Au 196.97 Au.upf
Li 6.94 Li.upf
CELL_PARAMETERS angstrom
-2.2332 -1.9329 1.4398
1.1980 -2.5923 -1.6220
4.2745 -1.1810 5.0445
ATOMIC_POSITIONS angstrom
Tl 0.5510 -2.5579 1.1700
Au 2.6883 -3.1484 3.6922
Li 4.1101 -1.1356 4.8504
Li 2.3017 -0.6359 2.7163
```

Formation energy   -400 meV per atom
E above lowest polymorph   0 meV/atom
ρ   9.5 g cm⁻³
Raw total energy   -2.7679 eV/atom

***

9.
Li2TlAu: relaxed, PBE-GGA. Values from VASP.

Structure (Quantum ESPRESSO input):
```
&SYSTEM
  ibrav = 0, nat = 4, ntyp = 3
/
ATOMIC_SPECIES
Tl 204.38 Tl.upf
Au 196.97 Au.upf
Li 6.94 Li.upf
CELL_PARAMETERS angstrom
4.7021 0.0000 0.0000
2.3510 4.0721 0.0000
2.3510 1.3574 3.8392
ATOMIC_POSITIONS angstrom
Tl 0.0000 0.0000 0.0000
Au 2.3510 1.3574 0.9598
Li 7.0531 4.0721 2.8794
Li 4.7021 2.7147 1.9196
```

Formation energy   -353 meV per atom
E above lowest polymorph   47 meV/atom
ρ   9.4 g cm⁻³
Raw total energy   -2.7204 eV/atom

***

10.
LiTl2Au: relaxed, PBE-GGA. Values from VASP.

Structure (Quantum ESPRESSO input):
```
&SYSTEM
  ibrav = 0, nat = 4, ntyp = 3
/
ATOMIC_SPECIES
Au 196.97 Au.upf
Li 6.94 Li.upf
Tl 204.38 Tl.upf
CELL_PARAMETERS angstrom
5.7522 -0.1467 -0.0460
2.5212 5.1723 0.0460
-3.8040 -3.0605 3.0454
ATOMIC_POSITIONS angstrom
Au 3.8855 2.3602 0.0000
Li 1.6546 2.4506 1.5457
Tl 0.1062 0.0645 0.0000
Tl 2.9597 -0.3974 1.4997
```

Formation energy   -132 meV per atom
ρ   11.1 g cm⁻³
Raw total energy   -2.6134 eV/atom

***

11.
Li8TlAu2: relaxed, PBE-GGA. Values from VASP.

Structure (Quantum ESPRESSO input):
```
&SYSTEM
  ibrav = 0, nat = 11, ntyp = 3
/
ATOMIC_SPECIES
Li 6.94 Li.upf
Tl 204.38 Tl.upf
Au 196.97 Au.upf
CELL_PARAMETERS angstrom
-1.8021 -4.0089 -0.4819
3.9007 -1.0399 -5.9366
3.4064 0.1189 6.5583
ATOMIC_POSITIONS angstrom
Li 3.2447 -3.4897 -3.3890
Li 3.8700 -1.8694 1.0788
Li 1.3475 -0.7275 1.0130
Li 1.2205 -0.3254 -1.8574
Li 4.1575 -4.2024 -0.8731
Li 1.6350 -3.0605 -0.9390
Li 2.2603 -1.4402 3.5289
Li 4.2845 -4.6045 1.9973
Tl -0.9010 -2.0044 -0.2409
Au 3.7492 -1.4911 -1.6163
Au 1.7558 -3.4388 1.7562
```

Formation energy   -326 meV per atom
E above lowest polymorph   0 meV/atom
ρ   5.6 g cm⁻³
Raw total energy   -2.5287 eV/atom

***

12.
Li2TlAu: relaxed, PBE-GGA. Values from VASP.

Structure (Quantum ESPRESSO input):
```
&SYSTEM
  ibrav = 0, nat = 4, ntyp = 3
/
ATOMIC_SPECIES
Tl 204.38 Tl.upf
Au 196.97 Au.upf
Li 6.94 Li.upf
CELL_PARAMETERS angstrom
-1.0005 -3.9078 2.2811
-4.4002 -1.0115 1.0445
-2.1612 -3.4692 -2.1839
ATOMIC_POSITIONS angstrom
Tl -3.7810 -4.1943 0.5709
Au 0.0000 0.0000 0.0000
Li -1.8905 -2.0971 0.2854
Li -5.6715 -6.2914 0.8563
```

Formation energy   -385 meV per atom
E above lowest polymorph   15 meV/atom
ρ   9.8 g cm⁻³
Raw total energy   -2.7532 eV/atom